Record 1
DFT (PBEsol) results for MnAsSe2Br after structural relaxation.

```
data_MnAsSe2Br
_cell_length_a 5.0311
_cell_length_b 5.0311
_cell_length_c 5.0193
_cell_angle_alpha 90.00
_cell_angle_beta 90.00
_cell_angle_gamma 90.00
_space_group_name_H-M_alt 'P 1'
_space_group_IT_number 1
_space_group_name_Hall 'P 1'
loop_
_atom_site_label
_atom_site_fract_x
_atom_site_fract_y
_atom_site_fract_z
_atom_site_occupancy
Se1 0.5000 0.0000 0.0000 1
As1 0.0000 0.0000 0.5000 1
Br1 0.0000 0.0000 0.0000 1
Mn1 0.5000 0.5000 0.5000 1
Se2 0.0000 0.5000 0.0000 1
```

## Properties
Calculated density ... 4.81 Mg/m³
DOS at the Fermi energy ... 4.79 states/eV per cell
SG ... P4/mmm (123)
Energy above the lowest structure with this stoichiometry ... 911 meV per atom

***

Record 2
DFT (PBEsol) results for MnAsSe2Br after structural relaxation.

```
data_MnAsSe2Br
_cell_length_a 4.5828
_cell_length_b 4.5828
_cell_length_c 4.8662
_cell_angle_alpha 90.00
_cell_angle_beta 90.00
_cell_angle_gamma 90.00
_space_group_name_H-M_alt 'P 1'
_space_group_IT_number 1
_space_group_name_Hall 'P 1'
loop_
_atom_site_label
_atom_site_fract_x
_atom_site_fract_y
_atom_site_fract_z
_atom_site_occupancy
Br1 0.5000 0.5000 0.5000 1
Se1 0.0000 0.5000 0.0000 1
As1 0.0000 0.0000 0.5000 1
Mn1 0.0000 0.0000 0.0000 1
Se2 0.5000 0.0000 0.0000 1
```

## Properties
Calculated density ... 5.97 Mg/m³
DOS at the Fermi energy ... 5.33 states/eV per cell
SG ... P4/mmm (123)
Energy above the lowest structure with this stoichiometry ... 0 meV per atom

***

Record 3
DFT (PBEsol) results for SrMnAs2Br after structural relaxation.

```
data_SrMnAs2Br
_cell_length_a 4.6433
_cell_length_b 4.6433
_cell_length_c 5.5024
_cell_angle_alpha 90.00
_cell_angle_beta 90.00
_cell_angle_gamma 90.00
_space_group_name_H-M_alt 'P 1'
_space_group_IT_number 1
_space_group_name_Hall 'P 1'
loop_
_atom_site_label
_atom_site_fract_x
_atom_site_fract_y
_atom_site_fract_z
_atom_site_occupancy
Mn1 0.0000 0.0000 0.0000 1
As1 0.0000 0.5000 0.0000 1
Sr1 0.5000 0.5000 0.5000 1
As2 0.5000 0.0000 0.0000 1
Br1 0.0000 0.0000 0.5000 1
```

## Properties
Calculated density ... 5.21 Mg/m³
DOS at the Fermi energy ... 3.09 states/eV per cell
VASP energy ... -0.385 Ry/atom
SG ... P4/mmm (123)

***

Record 4
DFT (PBEsol) results for MnTcAsBr2 after structural relaxation.

```
data_MnTcAsBr2
_cell_length_a 4.6893
_cell_length_b 5.0948
_cell_length_c 5.0948
_cell_angle_alpha 90.00
_cell_angle_beta 90.00
_cell_angle_gamma 90.00
_space_group_name_H-M_alt 'P 1'
_space_group_IT_number 1
_space_group_name_Hall 'P 1'
loop_
_atom_site_label
_atom_site_fract_x
_atom_site_fract_y
_atom_site_fract_z
_atom_site_occupancy
Mn1 0.5000 0.5000 0.5000 1
Tc1 0.0000 0.0000 0.0000 1
As1 0.5000 0.0000 0.0000 1
Br1 0.0000 0.5000 0.0000 1
Br2 0.0000 0.0000 0.5000 1
```

## Properties
Calculated density ... 5.29 Mg/m³
DOS at the Fermi energy ... 4.59 states/eV per cell
VASP energy ... -0.388 Ry/atom
SG ... P4/mmm (123)

***

Record 5
DFT (PBEsol) results for MnTeAsBr2 after structural relaxation.

```
data_MnTeAsBr2
_cell_length_a 4.7486
_cell_length_b 4.7486
_cell_length_c 5.2720
_cell_angle_alpha 90.00
_cell_angle_beta 90.00
_cell_angle_gamma 90.00
_space_group_name_H-M_alt 'P 1'
_space_group_IT_number 1
_space_group_name_Hall 'P 1'
loop_
_atom_site_label
_atom_site_fract_x
_atom_site_fract_y
_atom_site_fract_z
_atom_site_occupancy
As1 0.0000 0.0000 0.5000 1
Te1 0.5000 0.5000 0.5000 1
Br1 0.0000 0.5000 0.0000 1
Mn1 0.0000 0.0000 0.0000 1
Br2 0.5000 0.0000 0.0000 1
```

## Properties
Calculated density ... 5.83 Mg/m³
DOS at the Fermi energy ... 3.60 states/eV per cell
VASP energy ... -0.313 Ry/atom
SG ... P4/mmm (123)

***

Record 6
DFT (PBEsol) results for NiMoAsBr2 after structural relaxation.

```
data_NiMoAsBr2
_cell_length_a 4.7572
_cell_length_b 4.6772
_cell_length_c 4.6772
_cell_angle_alpha 90.00
_cell_angle_beta 90.00
_cell_angle_gamma 90.00
_space_group_name_H-M_alt 'P 1'
_space_group_IT_number 1
_space_group_name_Hall 'P 1'
loop_
_atom_site_label
_atom_site_fract_x
_atom_site_fract_y
_atom_site_fract_z
_atom_site_occupancy
Br1 0.0000 0.5000 0.0000 1
Mo1 0.5000 0.5000 0.5000 1
Br2 0.0000 0.0000 0.5000 1
As1 0.5000 0.0000 0.0000 1
Ni1 0.0000 0.0000 0.0000 1
```

## Properties
Calculated density ... 6.21 Mg/m³
DOS at the Fermi energy ... 3.72 states/eV per cell
VASP energy ... -0.329 Ry/atom
SG ... P4/mmm (123)

***

Record 7
DFT (PBEsol) results for MoAs2OsBr after structural relaxation.

```
data_MoAs2OsBr
_cell_length_a 4.8035
_cell_length_b 4.8035
_cell_length_c 4.8509
_cell_angle_alpha 90.00
_cell_angle_beta 90.00
_cell_angle_gamma 90.00
_space_group_name_H-M_alt 'P 1'
_space_group_IT_number 1
_space_group_name_Hall 'P 1'
loop_
_atom_site_label
_atom_site_fract_x
_atom_site_fract_y
_atom_site_fract_z
_atom_site_occupancy
As1 0.0000 0.5000 0.0000 1
Mo1 0.0000 0.0000 0.0000 1
As2 0.5000 0.0000 0.0000 1
Os1 0.5000 0.5000 0.5000 1
Br1 0.0000 0.0000 0.5000 1
```

## Properties
Calculated density ... 7.65 Mg/m³
DOS at the Fermi energy ... 6.32 states/eV per cell
VASP energy ... -0.414 Ry/atom
SG ... P4/mmm (123)

***

Record 8
DFT (PBEsol) results for RbMoAs2Br after structural relaxation.

```
data_RbMoAs2Br
_cell_length_a 4.8044
_cell_length_b 4.8044
_cell_length_c 5.6994
_cell_angle_alpha 90.00
_cell_angle_beta 90.00
_cell_angle_gamma 90.00
_space_group_name_H-M_alt 'P 1'
_space_group_IT_number 1
_space_group_name_Hall 'P 1'
loop_
_atom_site_label
_atom_site_fract_x
_atom_site_fract_y
_atom_site_fract_z
_atom_site_occupancy
As1 0.5000 0.0000 0.0000 1
Br1 0.0000 0.0000 0.5000 1
Mo1 0.0000 0.0000 0.0000 1
Rb1 0.5000 0.5000 0.5000 1
As2 0.0000 0.5000 0.0000 1
```

## Properties
Calculated density ... 5.19 Mg/m³
DOS at the Fermi energy ... 3.27 states/eV per cell
VASP energy ... -0.382 Ry/atom
SG ... P4/mmm (123)